(1)
Nd4Sm3Ho8 | GGA-PBE | relaxed

Computed properties:
**M_tot**: 0.0 Bohr magnetons per cell
**E_form**: 0.362 eV per atom

Cell and atoms, written as CIF:
```
data_Nd4Sm3Ho8
_cell_length_a 13.466
_cell_length_b 12.865
_cell_length_c 6.785
_cell_angle_alpha 90.00
_cell_angle_beta 120.19
_cell_angle_gamma 90.00
_symmetry_space_group_name_H-M 'C 1 2/m 1'
_symmetry_Int_Tables_number 12
loop_
_symmetry_equiv_pos_as_xyz
'x,y,z'
'-x,-y,-z'
'-x,y,-z'
'x,-y,z'
'x+1/2,y+1/2,z'
'-x+1/2,-y+1/2,-z'
'-x+1/2,y+1/2,-z'
'x+1/2,-y+1/2,z'
loop_
_atom_site_label
_atom_site_fract_x
_atom_site_fract_y
_atom_site_fract_z
_atom_site_occupancy
Nd1 0.000 0.000 0.000 1
Nd2 0.000 0.000 0.500 1
Nd3 0.250 0.250 0.000 1
Sm1 0.000 0.500 0.000 1
Sm2 0.250 0.250 0.500 1
Ho1 0.000 0.256 0.000 1
Ho2 0.000 0.361 0.500 1
Ho3 0.231 0.500 0.970 1
Ho4 0.232 0.500 0.492 1
```


(2)
CaZn2Fe | GGA-PBE | relaxed

Computed properties:
**M_tot**: 2.4 Bohr magnetons per cell
**E_form**: 0.235 eV per atom

Cell and atoms, written as CIF:
```
data_CaZn2Fe
_cell_length_a 4.223
_cell_length_b 4.223
_cell_length_c 4.124
_cell_angle_alpha 90.00
_cell_angle_beta 90.00
_cell_angle_gamma 90.00
_symmetry_space_group_name_H-M 'P 4/m m m'
_symmetry_Int_Tables_number 123
_symmetry_space_group_name_Hall '-P 4 2'
loop_
_atom_site_label
_atom_site_fract_x
_atom_site_fract_y
_atom_site_fract_z
_atom_site_occupancy
Ca1 0.000 0.000 0.000 1
Zn1 0.000 0.500 0.500 1
Fe1 0.500 0.500 0.000 1
```


(3)
Tl2SiMo | GGA-PBE | relaxed

Computed properties:
**M_tot**: 0.0 Bohr magnetons per cell
**E_form (uncorrected)**: 0.864 eV per atom

Cell and atoms, written as CIF:
```
data_Tl2SiMo
_cell_length_a 3.114
_cell_length_b 5.079
_cell_length_c 5.215
_cell_angle_alpha 90.00
_cell_angle_beta 90.00
_cell_angle_gamma 90.00
_symmetry_space_group_name_H-M 'P m m m'
_symmetry_Int_Tables_number 47
loop_
_symmetry_equiv_pos_as_xyz
'x,y,z'
'-x,-y,-z'
'-x,-y,z'
'x,y,-z'
'x,-y,-z'
'-x,y,z'
'-x,y,-z'
'x,-y,z'
loop_
_atom_site_label
_atom_site_fract_x
_atom_site_fract_y
_atom_site_fract_z
_atom_site_occupancy
Tl1 0.000 0.000 0.000 1
Tl2 0.500 0.500 0.000 1
Si1 0.000 0.500 0.500 1
Mo1 0.500 0.000 0.500 1
```


(4)
HfTlCrCd2 | GGA-PBE | relaxed

Computed properties:
**M_tot**: 3.3 Bohr magnetons per cell
**E_form**: 1.208 eV per atom

Cell and atoms, written as CIF:
```
data_HfTlCrCd2
_cell_length_a 5.553
_cell_length_b 5.553
_cell_length_c 5.561
_cell_angle_alpha 90.00
_cell_angle_beta 90.00
_cell_angle_gamma 90.00
_symmetry_space_group_name_H-M 'P 4/m m m'
_symmetry_Int_Tables_number 123
_symmetry_space_group_name_Hall '-P 4 2'
loop_
_atom_site_label
_atom_site_fract_x
_atom_site_fract_y
_atom_site_fract_z
_atom_site_occupancy
Hf1 0.000 0.000 0.000 1
Tl1 0.000 0.000 0.500 1
Cr1 0.500 0.500 0.500 1
Cd1 0.000 0.500 0.000 1
```


(5)
MnGe2Ru | GGA-PBE | relaxed

Computed properties:
**M_tot**: 6.5 Bohr magnetons per cell
**E_form**: -0.038 eV per atom

Cell and atoms, written as CIF:
```
data_MnGe2Ru
_cell_length_a 2.9418
_cell_length_b 2.9418
_cell_length_c 23.0275
_cell_angle_alpha 90.00
_cell_angle_beta 90.00
_cell_angle_gamma 120.00
_symmetry_space_group_name_H-M 'R 3 m'
_symmetry_Int_Tables_number 160
_symmetry_space_group_name_Hall 'R 3 -2"'
loop_
_atom_site_label
_atom_site_fract_x
_atom_site_fract_y
_atom_site_fract_z
_atom_site_occupancy
Mn1 0.0000 0.0000 0.0000 1
Ge1 0.0000 0.0000 0.5817 1
Ge2 0.0000 0.0000 0.7483 1
Ru1 0.0000 0.0000 0.1638 1
```


(6)
CoBrCl | GGA-PBE | relaxed

Computed properties:
**M_tot**: 3.0 Bohr magnetons per cell
**E_form (uncorrected)**: -0.389 eV per atom

Cell and atoms, written as CIF:
```
data_CoBrCl
_cell_length_a 3.6288
_cell_length_b 3.6288
_cell_length_c 6.6793
_cell_angle_alpha 90.00
_cell_angle_beta 90.00
_cell_angle_gamma 120.00
_symmetry_space_group_name_H-M 'P 3 m 1'
_symmetry_Int_Tables_number 156
loop_
_symmetry_equiv_pos_as_xyz
'x,y,z'
'-y,x-y,z'
'-x+y,-x,z'
'-y,-x,z'
'-x+y,y,z'
'x,x-y,z'
loop_
_atom_site_label
_atom_site_fract_x
_atom_site_fract_y
_atom_site_fract_z
_atom_site_occupancy
Co1 0.0000 0.0000 0.0000 1
Br1 0.6667 0.3333 0.2225 1
Cl1 0.3333 0.6667 0.8085 1
```


(7)
Na2CdO2 | GGA-PBE | relaxed

Computed properties:
**M_tot**: 0.0 Bohr magnetons per cell
**E_form (uncorrected)**: -1.157 eV per atom

Cell and atoms, written as CIF:
```
data_Na2CdO2
_cell_length_a 6.004
_cell_length_b 8.683
_cell_length_c 6.274
_cell_angle_alpha 90.00
_cell_angle_beta 90.00
_cell_angle_gamma 90.00
_symmetry_space_group_name_H-M 'I b a m'
_symmetry_Int_Tables_number 72
_symmetry_space_group_name_Hall '-I 2 2c'
loop_
_atom_site_label
_atom_site_fract_x
_atom_site_fract_y
_atom_site_fract_z
_atom_site_occupancy
Na1 0.102 0.153 0.000 1
Cd1 0.000 0.500 0.250 1
O1 0.228 0.401 0.000 1
```


(8)
GdNi4Sb | GGA-PBE | relaxed

Computed properties:
**M_tot**: 28.0 Bohr magnetons per cell
**E_form (uncorrected)**: -0.326 eV per atom

Cell and atoms, written as CIF:
```
data_GdNi4Sb
_cell_length_a 7.100
_cell_length_b 7.100
_cell_length_c 7.100
_cell_angle_alpha 90.00
_cell_angle_beta 90.00
_cell_angle_gamma 90.00
_symmetry_space_group_name_H-M 'F -4 3 m'
_symmetry_Int_Tables_number 216
_symmetry_space_group_name_Hall 'F -4 2 3'
loop_
_atom_site_label
_atom_site_fract_x
_atom_site_fract_y
_atom_site_fract_z
_atom_site_occupancy
Gd1 0.000 0.000 0.000 1
Ni1 0.125 0.125 0.625 1
Sb1 0.250 0.250 0.250 1
```


Question: What is the M_tot in the seventh record?
Answer: 0.0 Bohr magnetons per cell